Entry 1:
Sm2Y3Tm | Alexandria | PBE | optimized geometry; magnetic moment = 0.00 Bohr magnetons per cell; DFT formation energy = 0.91 eV/f.u.; theoretical density = 6.152 Mg/m³; volume = 33.12 Å³/atom; energy = -5.3987 eV per atom; space-group type = C2/c, No. 15
1.0
7.433 -4.853 0.000
7.433 4.853 0.000
-2.420 0.000 5.509
Sm Y Tm
4 6 2
Direct
0.087 0.648 0.615
0.352 0.913 0.885
0.648 0.087 0.115
0.913 0.352 0.385
0.110 0.890 0.250
0.184 0.351 0.024
0.351 0.184 0.524
0.649 0.816 0.476
0.816 0.649 0.976
0.890 0.110 0.750
0.500 0.500 0.000
0.500 0.500 0.500

Entry 2:
Sm3YTm12 | Alexandria | PBE | optimized geometry; magnetic moment = 0.00 Bohr magnetons per cell; DFT formation energy = 0.42 eV/f.u.; theoretical density = 8.645 Mg/m³; volume = 30.82 Å³/atom; energy = -4.6161 eV per atom; space-group type = P4/mmm, No. 123
1.0
4.975 0.000 0.000
0.000 4.975 0.000
0.000 0.000 19.921
Sm Y Tm
3 1 12
Direct
0.000 0.000 0.000
0.000 0.000 0.250
0.000 0.000 0.750
0.000 0.000 0.500
0.000 0.500 0.125
0.000 0.500 0.375
0.000 0.500 0.625
0.000 0.500 0.875
0.500 0.000 0.125
0.500 0.000 0.375
0.500 0.000 0.625
0.500 0.000 0.875
0.500 0.500 0.000
0.500 0.500 0.250
0.500 0.500 0.500
0.500 0.500 0.750

Entry 3:
Sm3Y2Tm8 | Alexandria | PBE | optimized geometry; magnetic moment = 0.00 Bohr magnetons per cell; DFT formation energy = 3.34 eV/f.u.; theoretical density = 7.716 Mg/m³; volume = 32.78 Å³/atom; energy = -4.5780 eV per atom; space-group type = C2/m, No. 12
1.0
10.041 -3.817 0.000
10.041 3.817 0.000
-0.002 0.000 5.560
Sm Y Tm
3 2 8
Direct
0.000 0.000 0.000
0.291 0.709 0.500
0.709 0.291 0.500
0.241 0.241 0.999
0.759 0.759 0.001
0.133 0.133 0.500
0.181 0.601 0.000
0.332 0.332 0.499
0.399 0.819 0.000
0.601 0.181 0.000
0.668 0.668 0.501
0.819 0.399 0.000
0.867 0.867 0.500

Entry 4:
Sm3YTm2 | Alexandria | PBE | optimized geometry; magnetic moment = 0.00 Bohr magnetons per cell; DFT formation energy = 0.02 eV/f.u.; theoretical density = 7.513 Mg/m³; volume = 32.34 Å³/atom; energy = -4.9239 eV per atom; space-group type = C2/c, No. 15
1.0
8.872 -3.604 0.000
8.872 3.604 0.000
-1.468 0.000 6.068
Sm Y Tm
6 2 4
Direct
0.043 0.293 0.028
0.127 0.873 0.750
0.293 0.043 0.528
0.707 0.957 0.472
0.873 0.127 0.250
0.957 0.707 0.972
0.376 0.624 0.250
0.624 0.376 0.750
0.209 0.458 0.472
0.458 0.209 0.972
0.542 0.791 0.028
0.791 0.542 0.528